Sm2Sc2Sb2H: optimized geometry, GGA-PBE.

Results
DFT total energy = -0.4173 Ry per atom
Fermi-level density of states = 12.62 states/eV/cell
Crystal system = tetragonal

Cell and atoms, written as CIF:
```
data_Sm2Sc2Sb2H
_symmetry_space_group_name_H-M 'I 4/m m m'
_symmetry_Int_Tables_number 139
_symmetry_space_group_name_Hall '-I 4 2'
_cell_length_a 4.3872
_cell_length_b 4.3872
_cell_length_c 16.5546
_cell_angle_alpha 90.00
_cell_angle_beta 90.00
_cell_angle_gamma 90.00
loop_
_atom_site_label
_atom_site_type_symbol
_atom_site_fract_x
_atom_site_fract_y
_atom_site_fract_z
Sm1 Sm 0.0000 0.0000 0.1774
Sc1 Sc 0.0000 0.5000 0.0000
Sb1 Sb 0.0000 0.0000 0.3717
H1 H 0.0000 0.0000 0.0000
```